# 1
TiTeSe2Br: single point on PBEsol structure, meta-GGA SCAN.

Lattice parameters (Å, degrees): 5.3236 5.3220 5.3220 90.00 90.00 90.00
Element x y z (fractional)
Br1 0.5000 0.0000 0.0000
Se1 0.0000 0.5000 0.0000
Se2 0.0000 0.0000 0.5000
Ti1 0.5000 0.5000 0.5000
Te1 0.0000 0.0000 0.0000

Values from the calculation:
Symmetry: P4/mmm, No. 123



# 2
TeWSeBr2: single point on PBEsol structure, meta-GGA SCAN.

Lattice parameters (Å, degrees): 4.9120 4.9624 4.9624 90.00 90.00 90.00
Element x y z (fractional)
Se1 0.5000 0.0000 0.0000
W1 0.0000 0.0000 0.0000
Br1 0.0000 0.0000 0.5000
Br2 0.0000 0.5000 0.0000
Te1 0.5000 0.5000 0.5000

Values from the calculation:
Symmetry: P4/mmm, No. 123



# 3
TlSeBr3: single point on PBEsol structure, meta-GGA SCAN.

Lattice parameters (Å, degrees): 5.3563 5.3563 5.3563 90.00 90.00 90.00
Element x y z (fractional)
Tl1 0.5000 0.5000 0.5000
Br1 0.0000 0.5000 0.0000
Br2 0.5000 0.0000 0.0000
Br3 0.0000 0.0000 0.5000
Se1 0.0000 0.0000 0.0000

Values from the calculation:
Symmetry: Pm-3m, No. 221



# 4
TlSeBr2: single point on PBEsol structure, meta-GGA SCAN.

Lattice parameters (Å, degrees): 4.4952 4.1105 7.4115 90.00 90.00 123.15
Element x y z (fractional)
Se1 0.5000 0.0000 0.5000
Tl1 0.5000 0.0000 0.0000
Br1 0.0000 0.0000 0.2782
Br2 0.0000 0.0000 0.7218

Values from the calculation:
Relative energy among the computed polymorphs: 91 meV/atom
Symmetry: Cmmm, No. 65



# 5
TlSeBr2: single point on PBEsol structure, meta-GGA SCAN.

Lattice parameters (Å, degrees): 3.2424 5.6520 6.8378 90.00 90.00 90.00
Element x y z (fractional)
Tl1 0.5000 0.5000 0.6885
Br1 0.5000 0.5000 0.2539
Br2 0.0000 0.0000 0.9471
Se1 0.0000 0.0000 0.6106

Values from the calculation:
Relative energy among the computed polymorphs: 0 meV/atom
Symmetry: Pmm2, No. 25



# 6
Tl2Se2Br: single point on PBEsol structure, meta-GGA SCAN.

Lattice parameters (Å, degrees): 3.9241 3.9241 9.5059 101.91 101.91 90.00
Element x y z (fractional)
Tl1 0.6032 0.6032 0.2065
Tl2 0.3968 0.3968 0.7935
Se1 0.2500 0.7500 0.5000
Se2 0.7500 0.2500 0.5000
Br1 0.0000 0.0000 0.0000

Values from the calculation:
Symmetry: I4/mmm, No. 139



# 7
WSe2Br: single point on PBEsol structure, meta-GGA SCAN.

Lattice parameters (Å, degrees): 4.6352 4.6352 4.6352 60.00 60.00 60.00
Element x y z (fractional)
W1 0.5000 0.5000 0.5000
Se1 0.7500 0.7500 0.7500
Se2 0.2500 0.2500 0.2500
Br1 0.0000 0.0000 0.0000

Values from the calculation:
Relative energy among the computed polymorphs: 462 meV/atom
Symmetry: Fm-3m, No. 225



# 8
WSeBr2: single point on PBEsol structure, meta-GGA SCAN.

Lattice parameters (Å, degrees): 3.0760 4.9424 4.9424 90.00 90.00 90.00
Element x y z (fractional)
W1 0.5000 0.0000 0.0000
Br1 0.0000 0.0000 0.5000
Br2 0.0000 0.5000 0.0000
Se1 0.5000 0.5000 0.5000

Values from the calculation:
Relative energy among the computed polymorphs: 1463 meV/atom
Symmetry: P4/mmm, No. 123



# 9
WSeBr2: single point on PBEsol structure, meta-GGA SCAN.

Lattice parameters (Å, degrees): 4.5445 4.7758 4.5445 61.59 90.00 118.41
Element x y z (fractional)
Br1 0.2500 0.5000 0.2500
Br2 0.0000 0.0000 0.0000
Se1 0.5000 0.0000 0.5000
W1 0.7500 0.5000 0.7500

Values from the calculation:
Relative energy among the computed polymorphs: 1025 meV/atom
Symmetry: I-4m2, No. 119



# 10
W3SeBr: single point on PBEsol structure, meta-GGA SCAN.

Lattice parameters (Å, degrees): 4.6232 4.6232 4.6232 90.00 90.00 90.00
Element x y z (fractional)
W1 0.0000 0.0000 0.5000
W2 0.0000 0.5000 0.0000
W3 0.5000 0.0000 0.0000
Br1 0.5000 0.5000 0.5000
Se1 0.0000 0.0000 0.0000

Values from the calculation:
Symmetry: Pm-3m, No. 221



# 11
WSeBr: single point on PBEsol structure, meta-GGA SCAN.

Lattice parameters (Å, degrees): 4.5078 4.5078 4.5078 60.00 60.00 60.00
Element x y z (fractional)
Br1 0.7500 0.7500 0.7500
Se1 0.0000 0.0000 0.0000
W1 0.5000 0.5000 0.5000

Values from the calculation:
Relative energy among the computed polymorphs: 1624 meV/atom
Symmetry: F-43m, No. 216



# 12
WSe2Br: single point on PBEsol structure, meta-GGA SCAN.

Lattice parameters (Å, degrees): 3.4005 3.4005 7.1934 90.00 90.00 90.00
Element x y z (fractional)
Se1 0.5000 0.5000 0.2819
Se2 0.0000 0.0000 0.0868
Br1 0.5000 0.5000 0.6962
W1 0.0000 0.0000 0.4350

Values from the calculation:
Relative energy among the computed polymorphs: 0 meV/atom
Symmetry: P4mm, No. 99



# 13
WSeBr: single point on PBEsol structure, meta-GGA SCAN.

Lattice parameters (Å, degrees): 3.1872 3.1872 7.4886 102.29 102.29 90.00
Element x y z (fractional)
Se1 0.2211 0.2211 0.4421
Br1 0.9728 0.9728 0.9455
W1 0.8062 0.8062 0.6124

Values from the calculation:
Relative energy among the computed polymorphs: 0 meV/atom
Symmetry: I4mm, No. 107



# 14
WSeBr2: single point on PBEsol structure, meta-GGA SCAN.

Lattice parameters (Å, degrees): 3.2386 3.2386 9.6734 80.36 80.36 60.00
Element x y z (fractional)
Se1 0.5217 0.5217 0.4348
Br1 0.9798 0.9798 0.0605
Br2 0.7506 0.7506 0.7483
W1 0.2479 0.2479 0.2564

Values from the calculation:
Relative energy among the computed polymorphs: 0 meV/atom
Symmetry: R3m, No. 160



# 15
WSeBr2: single point on PBEsol structure, meta-GGA SCAN.

Lattice parameters (Å, degrees): 4.4306 4.8520 4.4306 62.83 90.00 117.17
Element x y z (fractional)
Br1 0.7500 0.5000 0.7500
Br2 0.2500 0.5000 0.2500
W1 0.0000 0.0000 0.0000
Se1 0.5000 0.0000 0.5000

Values from the calculation:
Relative energy among the computed polymorphs: 1262 meV/atom
Symmetry: I4/mmm, No. 139



# 16
YWSeBr2: single point on PBEsol structure, meta-GGA SCAN.

Lattice parameters (Å, degrees): 4.8623 5.0199 5.0199 90.00 90.00 90.00
Element x y z (fractional)
Br1 0.0000 0.0000 0.5000
Br2 0.0000 0.5000 0.0000
Se1 0.5000 0.0000 0.0000
Y1 0.5000 0.5000 0.5000
W1 0.0000 0.0000 0.0000

Values from the calculation:
Symmetry: P4/mmm, No. 123



# 17
Y2Se2Br: single point on PBEsol structure, meta-GGA SCAN.

Lattice parameters (Å, degrees): 3.7169 7.8296 7.8296 90.00 90.00 90.00
Element x y z (fractional)
Se1 0.5000 0.6412 0.8588
Se2 0.5000 0.1412 0.6412
Se3 0.5000 0.8588 0.3588
Se4 0.5000 0.3588 0.1412
Y1 0.0000 0.8467 0.6533
Y2 0.0000 0.1533 0.3467
Y3 0.0000 0.3467 0.8467
Y4 0.0000 0.6533 0.1533
Br1 0.0000 0.0000 0.0000
Br2 0.0000 0.5000 0.5000

Values from the calculation:
Symmetry: P4/mbm, No. 127



# 18
YZnSe2Br: single point on PBEsol structure, meta-GGA SCAN.

Lattice parameters (Å, degrees): 5.3791 5.4305 5.4305 90.00 90.00 90.00
Element x y z (fractional)
Y1 0.0000 0.0000 0.0000
Se1 0.0000 0.5000 0.0000
Se2 0.0000 0.0000 0.5000
Zn1 0.5000 0.5000 0.5000
Br1 0.5000 0.0000 0.0000

Values from the calculation:
Symmetry: P4/mmm, No. 123



# 19
Y2ZnSeBr: single point on PBEsol structure, meta-GGA SCAN.

Lattice parameters (Å, degrees): 4.6573 5.2987 5.2987 90.00 90.00 90.00
Element x y z (fractional)
Y1 0.0000 0.5000 0.0000
Y2 0.0000 0.0000 0.5000
Se1 0.5000 0.5000 0.5000
Zn1 0.5000 0.0000 0.0000
Br1 0.0000 0.0000 0.0000

Values from the calculation:
Symmetry: P4/mmm, No. 123



# 20
YZrSeBr2: single point on PBEsol structure, meta-GGA SCAN.

Lattice parameters (Å, degrees): 5.1463 5.1463 5.1938 90.00 90.00 90.00
Element x y z (fractional)
Br1 0.0000 0.5000 0.0000
Br2 0.5000 0.0000 0.0000
Zr1 0.0000 0.0000 0.0000
Y1 0.5000 0.5000 0.5000
Se1 0.0000 0.0000 0.5000

Values from the calculation:
Symmetry: P4/mmm, No. 123



| no. | formation energy (no corrections) (eV per atom) | total magnetization (μB/cell) |
| --- | --- | --- |
| 1 | 0.33 | 2.12 |
| 2 | 0.53 | 0.00 |
| 3 | -0.33 | 0.00 |
| 4 | -0.05 | 0.00 |
| 5 | -0.14 | 0.00 |
| 6 | -0.44 | 0.00 |
| 7 | 0.98 | 0.00 |
| 8 | 1.55 | 1.89 |
| 9 | 1.11 | 0.00 |
| 10 | 2.33 | 0.00 |
| 11 | 1.89 | 2.97 |
| 12 | 0.52 | 0.00 |
| 13 | 0.27 | 0.00 |
| 14 | 0.08 | 0.00 |
| 15 | 1.35 | 0.00 |
| 16 | 0.20 | 1.22 |
| 17 | -2.00 | 0.00 |
| 18 | -0.61 | 0.00 |
| 19 | -0.05 | 0.00 |
| 20 | -0.73 | 1.57 |